DFT (GGA-PBE) results for a geometry-optimized Np2Bi structure.

a = 5.989 Å, b = 5.989 Å, c = 5.989 Å
α = 60.00°, β = 60.00°, γ = 60.00°
Fractional positions:
Np (0.000, 0.000, 0.000)
Np (0.000, 0.000, 0.500)
Np (0.000, 0.500, 0.000)
Np (0.500, 0.000, 0.000)
Bi (0.375, 0.375, 0.375)
Bi (0.625, 0.625, 0.625)

Crystal system: cubic
Space-group type: Fd-3m (227)
ΔH_f (0 K), eV per atom: 0.255
Calculated total energy, eV/atom: -9.67

***

DFT (GGA-PBE) results for a geometry-optimized Ba3NaHPt structure.

a = 10.335 Å, b = 4.694 Å, c = 10.745 Å
α = 90.00°, β = 107.43°, γ = 90.00°
Fractional positions:
Ba (0.031, 0.250, 0.343)
Ba (0.319, 0.250, 0.945)
Ba (0.375, 0.750, 0.638)
Ba (0.625, 0.250, 0.362)
Ba (0.681, 0.750, 0.055)
Ba (0.969, 0.750, 0.657)
Na (0.286, 0.750, 0.233)
Na (0.714, 0.250, 0.767)
H (0.422, 0.750, 0.904)
H (0.578, 0.250, 0.096)
Pt (0.173, 0.250, 0.646)
Pt (0.827, 0.750, 0.354)

Crystal system: monoclinic
Space-group type: P2_1/m (11)
Calculated total energy, eV/atom: -3.16

***

DFT (GGA-PBE) results for a geometry-optimized MnZnIrRh structure.

a = 4.267 Å, b = 4.267 Å, c = 4.267 Å
α = 60.00°, β = 60.00°, γ = 60.00°
Fractional positions:
Mn (0.000, 0.000, 0.000)
Zn (0.500, 0.500, 0.500)
Ir (0.750, 0.750, 0.750)
Rh (0.250, 0.250, 0.250)

Crystal system: cubic
Space-group type: F-43m (216)
ΔH_f (0 K), eV per atom: -0.240
Calculated total energy, eV/atom: -6.90

***

DFT (GGA-PBE) results for a geometry-optimized PrLuMnZn structure.

a = 5.073 Å, b = 5.073 Å, c = 5.073 Å
α = 60.00°, β = 60.00°, γ = 60.00°
Fractional positions:
Pr (0.000, 0.000, 0.000)
Lu (0.500, 0.500, 0.500)
Mn (0.750, 0.750, 0.750)
Zn (0.250, 0.250, 0.250)

Crystal system: cubic
Space-group type: F-43m (216)
ΔH_f (0 K), eV per atom: -0.004
Calculated total energy, eV/atom: -4.94

***

DFT (GGA-PBE) results for a geometry-optimized Sm4InGa12 structure.

a = 7.717 Å, b = 7.717 Å, c = 7.717 Å
α = 109.47°, β = 109.47°, γ = 109.47°
Fractional positions:
Sm (0.000, 0.000, 0.500)
Sm (0.000, 0.500, 0.000)
Sm (0.500, 0.000, 0.000)
Sm (0.500, 0.500, 0.500)
In (0.000, 0.000, 0.000)
Ga (0.000, 0.319, 0.319)
Ga (0.000, 0.681, 0.681)
Ga (0.250, 0.500, 0.750)
Ga (0.250, 0.750, 0.500)
Ga (0.319, 0.000, 0.319)
Ga (0.319, 0.319, 0.000)
Ga (0.500, 0.250, 0.750)
Ga (0.500, 0.750, 0.250)
Ga (0.681, 0.000, 0.681)
Ga (0.681, 0.681, 0.000)
Ga (0.750, 0.250, 0.500)
Ga (0.750, 0.500, 0.250)

Crystal system: cubic
Space-group type: Im-3m (229)
ΔH_f (0 K), eV per atom: -0.499
Calculated total energy, eV/atom: -3.91

***

DFT (GGA-PBE) results for a geometry-optimized Pm2Ho8Al structure.

a = 9.975 Å, b = 9.975 Å, c = 6.434 Å
α = 93.94°, β = 93.94°, γ = 31.77°
Fractional positions:
Pm (0.242, 0.242, 0.332)
Pm (0.758, 0.758, 0.668)
Ho (0.042, 0.042, 0.254)
Ho (0.153, 0.153, 0.814)
Ho (0.343, 0.343, 0.878)
Ho (0.423, 0.423, 0.396)
Ho (0.577, 0.577, 0.604)
Ho (0.657, 0.657, 0.122)
Ho (0.847, 0.847, 0.186)
Ho (0.958, 0.958, 0.746)
Al (0.500, 0.500, 0.000)

Crystal system: monoclinic
Space-group type: C2/m (12)
ΔH_f (0 K), eV per atom: -0.034
Calculated total energy, eV/atom: -4.57